Entry 1:
DFT (PBE-GGA) results for RbO2F after structural relaxation.

**Spin magnetization**: 2.22 μB/f.u.
**E_tot**: -0.2598 Ry per atom
**E above lowest polymorph**: 0.910 eV per atom
**Space-group type**: I4_1/amd (141)
**Density of states at the Fermi level**: 4.5 states/eV per cell
**Calculated volume**: 17.60 Å³/atom
**E_form (uncorrected)**: -345 meV/atom
**Crystal system**: tetragonal

```
RbO2F
1.0
-1.942 0.201 3.102
-0.531 -3.625 -0.097
7.527 -3.144 7.081
F O Rb
2 4 2
direct
0.250 0.750 0.500
0.500 0.500 0.000
0.375 0.625 0.250
0.375 0.125 0.250
0.875 0.625 0.750
0.375 0.625 0.750
0.000 0.000 0.000
0.750 0.250 0.500
```

---

Entry 2:
DFT (PBE-GGA) results for RbO2F after structural relaxation.

**Spin magnetization**: 4.00 μB/f.u.
**E_tot**: -0.2210 Ry per atom
**E above lowest polymorph**: 1.438 eV per atom
**Space-group type**: Fm-3m (225)
**Density of states at the Fermi level**: 4.1 states/eV per cell
**Calculated volume**: 17.23 Å³/atom
**E_form (uncorrected)**: 182 meV/atom
**Crystal system**: cubic

```
RbO2F
1.0
0.000 3.254 3.254
3.254 0.000 3.254
3.254 3.254 0.000
O Rb F
2 1 1
direct
0.250 0.250 0.250
0.750 0.750 0.750
0.500 0.500 0.500
0.000 0.000 0.000
```

---

Entry 3:
DFT (PBE-GGA) results for Rb2OF6 after structural relaxation.

**Spin magnetization**: 2.08 μB/f.u.
**E_tot**: -0.2297 Ry per atom
**Space-group type**: P2_1/c (14)
**Density of states at the Fermi level**: 21.0 states/eV per cell
**Calculated volume**: 17.15 Å³/atom
**E_form (uncorrected)**: -1112 meV/atom
**Crystal system**: monoclinic

```
Rb2OF6
1.0
-1.078 3.238 -5.017
-3.349 -4.553 -2.219
-6.827 3.271 3.594
F Rb O
12 4 2
direct
0.500 0.499 0.208
0.000 0.999 0.292
0.715 0.285 0.500
0.285 0.715 0.500
0.785 0.785 0.000
0.000 0.001 0.708
0.797 0.797 0.500
0.203 0.203 0.500
0.297 0.703 0.000
0.703 0.297 0.000
0.500 0.501 0.792
0.215 0.215 0.000
0.500 0.000 0.750
0.500 0.000 0.250
0.000 0.500 0.750
0.000 0.500 0.250
0.000 0.000 0.500
0.500 0.500 0.000
```

---

Entry 4:
DFT (PBE-GGA) results for Rb3O4F after structural relaxation.

**Spin magnetization**: 2.00 μB/f.u.
**E_tot**: -0.3205 Ry per atom
**Space-group type**: C2/m (12)
**Density of states at the Fermi level**: 5.5 states/eV per cell
**Calculated volume**: 21.56 Å³/atom
**E_form (uncorrected)**: -1284 meV/atom
**Crystal system**: monoclinic

```
Rb3O4F
1.0
3.815 -0.174 1.517
-0.196 4.041 0.951
1.700 -0.552 11.770
Rb O F
3 4 1
direct
0.500 0.500 0.000
0.470 0.159 0.683
0.530 0.841 0.317
0.092 0.362 0.275
0.896 0.295 0.409
0.908 0.638 0.725
0.104 0.705 0.591
0.000 0.000 0.000
```

---

Entry 5:
DFT (PBE-GGA) results for Rb2O2F after structural relaxation.

**Spin magnetization**: 0.00 μB/f.u.
**E_tot**: -0.2645 Ry per atom
**Space-group type**: I4/mmm (139)
**Density of states at the Fermi level**: 1.7 states/eV per cell
**Calculated volume**: 17.25 Å³/atom
**E_form (uncorrected)**: -854 meV/atom
**Crystal system**: tetragonal

```
Rb2O2F
1.0
3.261 0.000 0.000
0.000 3.261 0.000
1.630 1.630 8.113
O Rb F
2 2 1
direct
0.250 0.750 0.500
0.750 0.250 0.500
0.606 0.606 0.788
0.394 0.394 0.212
0.000 0.000 0.000
```

---

Entry 6:
DFT (PBE-GGA) results for Rb8O6F after structural relaxation.

**Spin magnetization**: 5.00 μB/f.u.
**E_tot**: -0.2640 Ry per atom
**Space-group type**: R-3 (148)
**Density of states at the Fermi level**: 18.4 states/eV per cell
**Calculated volume**: 25.02 Å³/atom
**E_form (uncorrected)**: -967 meV/atom
**Crystal system**: trigonal

```
Rb8O6F
1.0
7.148 -0.096 2.055
1.521 6.985 2.055
-0.121 -0.096 7.436
Rb O F
8 6 1
direct
0.801 0.336 0.138
0.199 0.664 0.862
0.679 0.679 0.679
0.862 0.199 0.664
0.664 0.862 0.199
0.138 0.801 0.336
0.336 0.138 0.801
0.321 0.321 0.321
0.932 0.521 0.355
0.355 0.932 0.521
0.479 0.645 0.068
0.521 0.355 0.932
0.645 0.068 0.479
0.068 0.479 0.645
0.000 0.000 0.000
```

---

- What is the formula in the first record?
  RbO2F